# Rb2CrSeI6

Rb2CrSeI6 after structural relaxation (PBE, Alexandria via LeMat-Bulk).

Computed properties:
Raw formation energy (kJ/mol of formula units): -579
SG: I4/mmm, No. 139

Lattice parameters (Å, degrees): 8.539 8.539 8.299 59.04 59.04 90.00
Site moments in Bohr magnetons follow the coordinates.
Sites, in units of the cell vectors:
I: 0.246 0.246 0.507  0.01
I: 0.754 0.754 0.493  0.01
I: 0.271 0.271 0.000  0.03
I: 0.729 0.729 0.000  0.03
I: 0.729 0.271 0.000  0.03
I: 0.271 0.729 0.000  0.03
Cr: 0.500 0.500 0.000  3.43
Se: 0.000 0.000 0.000  0.56
Rb: 0.750 0.250 0.500  0.00
Rb: 0.250 0.750 0.500  0.00

# RbCrSeI2

RbCrSeI2 after structural relaxation (PBE, Alexandria via LeMat-Bulk).

Computed properties:
Raw formation energy (kJ/mol of formula units): -313
SG: P4/mmm, No. 123

Lattice parameters (Å, degrees): 5.927 5.927 4.790 90.00 90.00 90.00
Site moments in Bohr magnetons follow the coordinates.
Sites, in units of the cell vectors:
I: 0.000 0.500 0.000  -0.06
I: 0.500 0.000 0.000  -0.06
Cr: 0.000 0.000 0.000  3.25
Se: 0.000 0.000 0.500  -0.29
Rb: 0.500 0.500 0.500  0.00

# RbCrSi2I

RbCrSi2I after structural relaxation (PBE, Alexandria via LeMat-Bulk).

Computed properties:
Raw formation energy (kJ/mol of formula units): 93
SG: P4/mmm, No. 123

Lattice parameters (Å, degrees): 4.638 6.050 4.638 90.00 90.00 90.00
Sites, in units of the cell vectors:
I: 0.000 0.500 0.000
Cr: 0.000 0.000 0.000
Si: 0.000 0.000 0.500
Si: 0.500 0.000 0.000
Rb: 0.500 0.500 0.500

# Rb2CrSnI6

Rb2CrSnI6 after structural relaxation (PBE, Alexandria via LeMat-Bulk).

Computed properties:
Energy relative to the lowest polymorph listed for this composition (meV/atom): 0
Raw formation energy (kJ/mol of formula units): -787
SG: P2_1/c, No. 14

Lattice parameters (Å, degrees): 8.241 8.483 11.929 90.00 90.27 90.00
Site moments in Bohr magnetons follow the coordinates.
Sites, in units of the cell vectors:
Rb: 0.020 0.935 0.248  0.00
Rb: 0.520 0.565 0.748  0.00
Rb: 0.980 0.065 0.752  0.00
Rb: 0.480 0.435 0.252  0.00
Cr: 0.500 0.000 0.500  3.65
Cr: 0.000 0.500 0.000  3.65
Sn: 0.500 0.000 0.000  0.04
Sn: 0.000 0.500 0.500  0.04
I: 0.284 0.690 0.035  -0.02
I: 0.784 0.810 0.535  -0.02
I: 0.716 0.310 0.965  -0.02
I: 0.216 0.190 0.465  -0.02
I: 0.310 0.718 0.466  -0.02
I: 0.810 0.782 0.966  -0.02
I: 0.690 0.282 0.534  -0.02
I: 0.190 0.218 0.034  -0.02
I: 0.931 0.504 0.238  -0.02
I: 0.431 0.996 0.738  -0.02
I: 0.069 0.496 0.762  -0.02
I: 0.569 0.004 0.262  -0.02

# Rb2CrSnI6

Rb2CrSnI6 after structural relaxation (PBE, Alexandria via LeMat-Bulk).

Computed properties:
Energy relative to the lowest polymorph listed for this composition (meV/atom): 16
Raw formation energy (kJ/mol of formula units): -771
SG: I4/mmm, No. 139

Lattice parameters (Å, degrees): 8.458 8.458 8.463 60.02 60.02 90.00
Site moments in Bohr magnetons follow the coordinates.
Sites, in units of the cell vectors:
I: 0.261 0.261 0.477  -0.02
I: 0.739 0.739 0.523  -0.02
I: 0.262 0.262 0.000  -0.02
I: 0.738 0.738 0.000  -0.02
I: 0.738 0.262 0.000  -0.02
I: 0.262 0.738 0.000  -0.02
Cr: 0.500 0.500 0.000  3.64
Sn: 0.000 0.000 0.000  0.04
Rb: 0.750 0.250 0.500  0.00
Rb: 0.250 0.750 0.500  0.00

# RbSrCr2I8

RbSrCr2I8 after structural relaxation (PBE, Alexandria via LeMat-Bulk).

Computed properties:
Raw formation energy (kJ/mol of formula units): -861
SG: R-3, No. 148

Lattice parameters (Å, degrees): 7.719 7.719 11.512 70.41 70.41 60.00
Site moments in Bohr magnetons follow the coordinates.
Sites, in units of the cell vectors:
Rb: 0.500 0.500 0.500  0.00
Sr: 0.000 0.000 0.000  0.01
Cr: 0.253 0.253 0.242  3.32
Cr: 0.747 0.747 0.758  3.32
I: 0.172 0.172 0.484  -0.07
I: 0.598 0.289 0.186  -0.03
I: 0.828 0.828 0.516  -0.07
I: 0.926 0.598 0.186  -0.03
I: 0.074 0.402 0.814  -0.03
I: 0.289 0.926 0.186  -0.03
I: 0.711 0.074 0.814  -0.03
I: 0.402 0.711 0.814  -0.03

# Rb2SrCrI6

Rb2SrCrI6 after structural relaxation (PBE, Alexandria via LeMat-Bulk).

Computed properties:
Raw formation energy (kJ/mol of formula units): -1083
SG: I4/mmm, No. 139

Lattice parameters (Å, degrees): 8.614 8.614 8.612 59.99 59.99 90.00
Site moments in Bohr magnetons follow the coordinates.
Sites, in units of the cell vectors:
I: 0.265 0.265 0.470  -0.01
I: 0.735 0.735 0.530  -0.01
I: 0.265 0.265 0.000  -0.01
I: 0.735 0.735 0.000  -0.01
I: 0.735 0.265 0.000  -0.01
I: 0.265 0.735 0.000  -0.01
Sr: 0.000 0.000 0.000  0.01
Rb: 0.750 0.250 0.500  0.00
Rb: 0.250 0.750 0.500  0.00
Cr: 0.500 0.500 0.000  3.65

# Rb2TaCrI6

Rb2TaCrI6 after structural relaxation (PBE, Alexandria via LeMat-Bulk).

Computed properties:
Raw formation energy (kJ/mol of formula units): -548
SG: I4/mmm, No. 139

Lattice parameters (Å, degrees): 8.245 8.245 8.251 60.02 60.02 90.00
Site moments in Bohr magnetons follow the coordinates.
Sites, in units of the cell vectors:
I: 0.246 0.246 0.508  0.00
I: 0.754 0.754 0.492  0.00
I: 0.246 0.246 0.000  0.00
I: 0.754 0.754 0.000  0.00
I: 0.754 0.246 0.000  0.00
I: 0.246 0.754 0.000  0.00
Cr: 0.500 0.500 0.000  4.13
Rb: 0.750 0.250 0.500  0.00
Rb: 0.250 0.750 0.500  0.00
Ta: 0.000 0.000 0.000  1.54